Below is crystalline ThFeOs at its relaxed geometry, with properties calculated at the PBE-GGA level.

## Properties
symmetry	P3m1, No. 156
DFT total energy	-27.39	eV for the cell shown
energy of formation	-0.092	eV per atom

a b c (Å): 4.146 4.146 4.122
angles (deg): 90.00 90.00 120.00
Positions (direct):
Th 0.000 0.000 0.000
Fe 0.333 0.667 0.506
Os 0.667 0.333 0.491